Record 1
# LaHfZr2

LaHfZr2 at its PBEsol-relaxed geometry (SCAN, the Alexandria database).

Properties
Formation energy: 303.6 meV/atom
Raw total energy: -165.961 eV per cell
D(E_F): 7.51 states/eV/cell

Cell lengths 5.109, 5.109, 5.109 Å; angles 60.00, 60.00, 60.00 degrees
Atoms (fractional coordinates):
La: 0.000 0.000 0.000
Hf: 0.500 0.500 0.500
Zr: 0.250 0.250 0.250
Zr: 0.750 0.750 0.750

***

Record 2
# In2TeAs

In2TeAs at its PBEsol-relaxed geometry (SCAN, the Alexandria database).

Properties
Raw total energy: -124.778 eV per cell
Energy above the lowest structure with this stoichiometry: 47 meV per atom
D(E_F): 1.99 states/eV/cell
Energy relative to the elements, uncorrected: -0.141 eV/atom

Cell lengths 8.287, 8.287, 8.287 Å; angles 30.95, 30.95, 30.95 degrees
Atoms (fractional coordinates):
In: 0.000 0.000 0.000
In: 0.481 0.481 0.481
Te: 0.874 0.874 0.874
As: 0.368 0.368 0.368

***

Record 3
# BeRe2W

BeRe2W at its PBEsol-relaxed geometry (SCAN, the Alexandria database).

Properties
Formation energy: 74.6 meV/atom
Raw total energy: -215.938 eV per cell
D(E_F): 2.62 states/eV/cell

Cell lengths 3.072, 3.072, 5.706 Å; angles 90.00, 90.00, 90.00 degrees
Atoms (fractional coordinates):
Be: 0.000 0.000 0.000
Re: 0.000 0.000 0.494
Re: 0.500 0.500 0.205
W: 0.500 0.500 0.761

***

Record 4
# Cd2TcMo

Cd2TcMo at its PBEsol-relaxed geometry (SCAN, the Alexandria database).

Properties
Formation energy: 518.7 meV/atom
Raw total energy: -128.699 eV per cell
Energy above the lowest structure with this stoichiometry: 145 meV per atom
D(E_F): 3.56 states/eV/cell

Cell lengths 5.285, 5.285, 5.285 Å; angles 137.55, 137.55, 61.60 degrees
Atoms (fractional coordinates):
Cd: 0.250 0.750 0.500
Cd: 0.750 0.250 0.500
Tc: 0.000 0.000 0.000
Mo: 0.500 0.500 0.000

***

Record 5
# ScRuN3

ScRuN3 at its PBEsol-relaxed geometry (SCAN, the Alexandria database).

Properties
Raw total energy: -76.146 eV per cell
D(E_F): 2.87 states/eV/cell
Energy relative to the elements, uncorrected: 0.158 eV/atom

Cell lengths 3.796, 3.796, 3.796 Å; angles 90.00, 90.00, 90.00 degrees
Atoms (fractional coordinates):
Sc: 0.000 0.000 0.000
Ru: 0.500 0.500 0.500
N: 0.000 0.500 0.500
N: 0.500 0.000 0.500
N: 0.500 0.500 0.000

***

Record 6
# LiNiPO2

LiNiPO2 at its PBEsol-relaxed geometry (SCAN, the Alexandria database).

Properties
Raw total energy: -42.404 eV per cell
D(E_F): 3.20 states/eV/cell
Energy relative to the elements, uncorrected: -0.196 eV/atom

Cell lengths 3.618, 3.618, 4.669 Å; angles 90.00, 90.00, 90.00 degrees
Atoms (fractional coordinates):
Li: 0.000 0.000 0.000
Ni: 0.500 0.500 0.500
P: 0.500 0.500 0.000
O: 0.000 0.500 0.500
O: 0.500 0.000 0.500

***

Record 7
# NbIrN2F

NbIrN2F at its PBEsol-relaxed geometry (SCAN, the Alexandria database).

Properties
Raw total energy: -123.108 eV per cell
D(E_F): 4.32 states/eV/cell
Energy relative to the elements, uncorrected: 0.649 eV/atom

Cell lengths 3.855, 3.855, 4.077 Å; angles 90.00, 90.00, 90.00 degrees
Atoms (fractional coordinates):
Nb: 0.000 0.000 0.000
Ir: 0.500 0.500 0.500
N: 0.000 0.500 0.500
N: 0.500 0.000 0.500
F: 0.500 0.500 0.000

***

Record 8
# CdOs2Ru

CdOs2Ru at its PBEsol-relaxed geometry (SCAN, the Alexandria database).

Properties
Formation energy: 791.1 meV/atom
Raw total energy: -205.836 eV per cell
D(E_F): 4.01 states/eV/cell

Cell lengths 5.353, 5.353, 2.691 Å; angles 102.81, 102.81, 119.51 degrees
Atoms (fractional coordinates):
Cd: 0.000 0.000 0.000
Os: 0.000 0.500 0.500
Os: 0.500 0.000 0.500
Ru: 0.500 0.500 0.000

***

Record 9
# YZrTiSn2

YZrTiSn2 at its PBEsol-relaxed geometry (SCAN, the Alexandria database).

Properties
Formation energy: 1100.7 meV/atom
Raw total energy: -140.910 eV per cell
D(E_F): 3.50 states/eV/cell

Cell lengths 5.500, 5.500, 5.014 Å; angles 90.00, 90.00, 90.00 degrees
Atoms (fractional coordinates):
Y: 0.000 0.000 0.000
Zr: 0.000 0.000 0.500
Ti: 0.500 0.500 0.500
Sn: 0.000 0.500 0.000
Sn: 0.500 0.000 0.000

***

Record 10
# NiMo2OsO

NiMo2OsO at its PBEsol-relaxed geometry (SCAN, the Alexandria database).

Properties
Raw total energy: -153.313 eV per cell
D(E_F): 5.42 states/eV/cell
Energy relative to the elements, uncorrected: 2.148 eV/atom

Cell lengths 4.387, 4.387, 4.377 Å; angles 90.00, 90.00, 90.00 degrees
Atoms (fractional coordinates):
Ni: 0.000 0.000 0.000
Mo: 0.000 0.500 0.000
Mo: 0.500 0.000 0.000
Os: 0.000 0.000 0.500
O: 0.500 0.500 0.500

***

Record 11
# BeGe3Ru

BeGe3Ru at its PBEsol-relaxed geometry (SCAN, the Alexandria database).

Properties
Formation energy: 725.3 meV/atom
Raw total energy: -92.816 eV per cell
D(E_F): 5.40 states/eV/cell

Cell lengths 4.695, 4.695, 4.695 Å; angles 90.00, 90.00, 90.00 degrees
Atoms (fractional coordinates):
Be: 0.000 0.000 0.000
Ge: 0.000 0.500 0.500
Ge: 0.500 0.000 0.500
Ge: 0.500 0.500 0.000
Ru: 0.500 0.500 0.500

***

Record 12
# Ag2BiC

Ag2BiC at its PBEsol-relaxed geometry (SCAN, the Alexandria database).

Properties
Formation energy: 1477.7 meV/atom
Raw total energy: -145.503 eV per cell
D(E_F): 1.03 states/eV/cell

Cell lengths 4.635, 4.635, 4.635 Å; angles 60.00, 60.00, 60.00 degrees
Atoms (fractional coordinates):
Ag: 0.250 0.250 0.250
Ag: 0.750 0.750 0.750
Bi: 0.000 0.000 0.000
C: 0.500 0.500 0.500

***

Record 13
# Al2CdTe

Al2CdTe at its PBEsol-relaxed geometry (SCAN, the Alexandria database).

Properties
Raw total energy: -81.803 eV per cell
Energy above the lowest structure with this stoichiometry: 40 meV per atom
D(E_F): 2.35 states/eV/cell
Energy relative to the elements, uncorrected: 0.341 eV/atom

Cell lengths 4.995, 4.995, 4.995 Å; angles 60.00, 60.00, 60.00 degrees
Atoms (fractional coordinates):
Al: 0.000 0.000 0.000
Al: 0.250 0.250 0.250
Cd: 0.500 0.500 0.500
Te: 0.750 0.750 0.750

***

Record 14
# Li3Co3P4O16

Li3Co3P4O16 at its PBEsol-relaxed geometry (SCAN, the Alexandria database).

Properties
Raw total energy: -255.981 eV per cell
D(E_F): 0.08 states/eV/cell
Energy relative to the elements, uncorrected: -2.139 eV/atom

Cell lengths 4.975, 7.348, 7.735 Å; angles 89.89, 89.46, 85.00 degrees
Atoms (fractional coordinates):
Li: 0.000 0.000 0.000
Li: 0.188 0.792 0.731
Li: 0.709 0.293 0.502
Co: 0.095 0.900 0.370
Co: 0.467 0.497 0.230
Co: 0.588 0.385 0.848
P: 0.035 0.599 0.065
P: 0.141 0.189 0.667
P: 0.553 0.086 0.174
P: 0.631 0.709 0.551
O: 0.013 0.750 0.938
O: 0.048 0.132 0.482
O: 0.147 0.657 0.251
O: 0.169 0.036 0.795
O: 0.275 0.448 0.027
O: 0.281 0.999 0.177
O: 0.410 0.857 0.497
O: 0.411 0.283 0.658
O: 0.527 0.255 0.297
O: 0.551 0.637 0.731
O: 0.634 0.149 0.992
O: 0.660 0.547 0.421
O: 0.770 0.504 0.076
O: 0.778 0.944 0.237
O: 0.907 0.792 0.556
O: 0.922 0.344 0.717

***

Record 15
# AlAg3

AlAg3 at its PBEsol-relaxed geometry (SCAN, the Alexandria database).

Properties
Formation energy: -74.2 meV/atom
Raw total energy: -204.300 eV per cell
D(E_F): 2.10 states/eV/cell

Cell lengths 4.094, 3.960, 8.000 Å; angles 90.00, 90.00, 90.00 degrees
Atoms (fractional coordinates):
Al: 0.250 0.000 0.131
Al: 0.750 0.000 0.869
Ag: 0.250 0.000 0.629
Ag: 0.250 0.500 0.370
Ag: 0.250 0.500 0.884
Ag: 0.750 0.000 0.371
Ag: 0.750 0.500 0.116
Ag: 0.750 0.500 0.630

***

Record 16
# Mg2AgRu

Mg2AgRu at its PBEsol-relaxed geometry (SCAN, the Alexandria database).

Properties
Formation energy: 136.5 meV/atom
Raw total energy: -75.595 eV per cell
D(E_F): 3.33 states/eV/cell

Cell lengths 3.342, 3.342, 5.973 Å; angles 90.00, 90.00, 90.00 degrees
Atoms (fractional coordinates):
Mg: 0.000 0.000 0.000
Mg: 0.500 0.500 0.305
Ag: 0.500 0.500 0.763
Ru: 0.000 0.000 0.507

***

Record 17
# Te3Ir

Te3Ir at its PBEsol-relaxed geometry (SCAN, the Alexandria database).

Properties
Raw total energy: -183.396 eV per cell
D(E_F): 2.17 states/eV/cell
Energy relative to the elements, uncorrected: -0.136 eV/atom

Cell lengths 3.967, 3.967, 8.759 Å; angles 102.72, 102.72, 59.96 degrees
Atoms (fractional coordinates):
Te: 0.000 0.000 0.000
Te: 0.116 0.116 0.345
Te: 0.884 0.884 0.655
Ir: 0.500 0.500 0.500

***

Record 18
# Ca3TeBr

Ca3TeBr at its PBEsol-relaxed geometry (SCAN, the Alexandria database).

Properties
Raw total energy: -88.433 eV per cell
D(E_F): 6.14 states/eV/cell
Energy relative to the elements, uncorrected: -0.546 eV/atom

Cell lengths 5.857, 5.857, 5.857 Å; angles 90.00, 90.00, 90.00 degrees
Atoms (fractional coordinates):
Ca: 0.000 0.000 0.500
Ca: 0.000 0.500 0.000
Ca: 0.500 0.000 0.000
Te: 0.000 0.000 0.000
Br: 0.500 0.500 0.500

***

Record 19
# LiVP2O8

LiVP2O8 at its PBEsol-relaxed geometry (SCAN, the Alexandria database).

Properties
Raw total energy: -119.487 eV per cell
Energy above the lowest structure with this stoichiometry: 4 meV per atom
Energy relative to the elements, uncorrected: -2.413 eV/atom

Cell lengths 4.774, 4.774, 7.386 Å; angles 97.15, 97.15, 64.93 degrees
Atoms (fractional coordinates):
Li: 0.000 0.000 0.000
V: 0.000 0.000 0.500
P: 0.324 0.324 0.286
P: 0.676 0.676 0.714
O: 0.198 0.684 0.320
O: 0.212 0.212 0.443
O: 0.222 0.222 0.102
O: 0.316 0.802 0.680
O: 0.684 0.198 0.320
O: 0.778 0.778 0.898
O: 0.788 0.788 0.557
O: 0.802 0.316 0.680

***

Record 20
# KNaY2Cd

KNaY2Cd at its PBEsol-relaxed geometry (SCAN, the Alexandria database).

Properties
Formation energy: 903.5 meV/atom
Raw total energy: -94.127 eV per cell
D(E_F): 5.38 states/eV/cell

Cell lengths 5.768, 5.768, 5.547 Å; angles 90.00, 90.00, 90.00 degrees
Atoms (fractional coordinates):
K: 0.000 0.000 0.000
Na: 0.000 0.000 0.500
Y: 0.000 0.500 0.500
Y: 0.500 0.000 0.500
Cd: 0.500 0.500 0.000